First-principles (PBE) data for crystalline TaP2PbS at its relaxed geometry, as listed in Alexandria via LeMat-Bulk.

Cell: 5.0100 5.0100 5.0153 Å, 90.00 90.00 90.00°
With the nearest neighbours (Å) after each atom.
Element x y z (fractional)
Ta 0.0000 0.0000 0.0000  4 S 3.54, 8 P 3.54
P 0.0000 0.5000 0.5000  2 Pb 2.51
P 0.5000 0.0000 0.5000  2 Pb 2.51
Pb 0.5000 0.5000 0.5000  4 P 2.51, 2 S 2.51
S 0.5000 0.5000 0.0000  2 Pb 2.51

Computed properties:
Fermi-level density of states (states/eV/f.u.): 5.521
Raw total energy (eV per atom): -4.387
ΔE_f (raw) (eV per atom): 1.71
Excess energy over the best structure of this formula in the dataset (eV per atom): 1.7572


First-principles (PBE) data for crystalline TaP2PbS8 at its relaxed geometry, as listed in Alexandria via LeMat-Bulk.

Cell: 5.9966 5.9966 8.5308 Å, 93.61 93.61 67.60°
With the nearest neighbours (Å) after each atom.
Element x y z (fractional)
Ta 0.0000 0.0000 0.0000  6 S 2.44-2.47
P 0.3666 0.3666 0.2182  4 S 1.99-2.16
P 0.6334 0.6334 0.7818  4 S 1.99-2.16
Pb 0.0000 0.0000 0.5000  6 S 2.99-3.06
S 0.2452 0.2452 0.0099  1 P 2.07
S 0.2471 0.7403 0.7886  1 P 2.16
S 0.2597 0.7529 0.2114  1 P 2.16
S 0.2967 0.2967 0.4302  1 P 1.99
S 0.7033 0.7033 0.5698  1 P 1.99
S 0.7403 0.2471 0.7886  1 P 2.16
S 0.7529 0.2597 0.2114  1 P 2.16
S 0.7548 0.7548 0.9901  1 P 2.07

Computed properties:
Fermi-level density of states (states/eV/f.u.): 1.459
Raw total energy (eV per atom): -5.301
ΔE_f (raw) (eV per atom): -0.35


First-principles (PBE) data for crystalline TaP2PbS at its relaxed geometry, as listed in Alexandria via LeMat-Bulk.

Cell: 4.9116 4.9116 4.7728 Å, 90.00 90.00 90.00°
With the nearest neighbours (Å) after each atom.
Element x y z (fractional)
Ta 0.0000 0.0000 0.0000  2 S 2.39, 4 P 2.46
P 0.0000 0.5000 0.0000  2 Ta 2.46
P 0.5000 0.0000 0.0000  2 Ta 2.46
Pb 0.5000 0.5000 0.5000  8 P 3.42, 4 S 3.47
S 0.0000 0.0000 0.5000  2 Ta 2.39

Computed properties:
Fermi-level density of states (states/eV/f.u.): 2.728
Raw total energy (eV per atom): -6.144
ΔE_f (raw) (eV per atom): -0.04
Excess energy over the best structure of this formula in the dataset (eV per atom): 0.0000


First-principles (PBE) data for crystalline TaPPbS2 at its relaxed geometry, as listed in Alexandria via LeMat-Bulk.

Cell: 5.1006 5.1006 5.1352 Å, 90.00 90.00 90.00°
With the nearest neighbours (Å) after each atom.
Element x y z (fractional)
Ta 0.0000 0.0000 0.0000  4 P 3.61, 8 S 3.62
P 0.5000 0.5000 0.0000  2 Pb 2.57
Pb 0.5000 0.5000 0.5000  4 S 2.55, 2 P 2.57
S 0.0000 0.5000 0.5000  2 Pb 2.55
S 0.5000 0.0000 0.5000  2 Pb 2.55

Computed properties:
Fermi-level density of states (states/eV/f.u.): 5.143
Raw total energy (eV per atom): -4.362
ΔE_f (raw) (eV per atom): 1.48
Excess energy over the best structure of this formula in the dataset (eV per atom): 1.7816


First-principles (PBE) data for crystalline Tb3PPbS at its relaxed geometry, as listed in Alexandria via LeMat-Bulk.

Cell: 7.2041 4.0725 11.0033 Å, 90.00 102.68 90.00°
With the nearest neighbours (Å) after each atom.
Element x y z (fractional)
Tb 0.0398 0.2500 0.1499  1 S 2.82, 3 P 2.87-2.89
Tb 0.2422 0.2500 0.5071  3 S 2.74-2.78
Tb 0.4416 0.7500 0.8440  1 S 2.83, 3 P 2.90
Tb 0.5584 0.2500 0.1560  1 S 2.83, 3 P 2.90
Tb 0.7578 0.7500 0.4929  3 S 2.74-2.78
Tb 0.9602 0.7500 0.8501  1 S 2.82, 3 P 2.87-2.89
P 0.2337 0.2500 0.9461  6 Tb 2.87-2.90
P 0.7663 0.7500 0.0539  6 Tb 2.87-2.90
Pb 0.3516 0.7500 0.3081  7 Tb 3.18-3.24
Pb 0.6484 0.2500 0.6919  7 Tb 3.18-3.24
S 0.1253 0.7500 0.6397  5 Tb 2.74-2.83
S 0.8747 0.2500 0.3603  5 Tb 2.74-2.83

Computed properties:
Fermi-level density of states (states/eV/f.u.): 1.846
Raw total energy (eV per atom): -5.823
ΔE_f (raw) (eV per atom): -1.30


First-principles (PBE) data for crystalline TbP2PbS8 at its relaxed geometry, as listed in Alexandria via LeMat-Bulk.

Cell: 5.9938 5.9938 9.1182 Å, 90.00 90.00 120.00°
With the nearest neighbours (Å) after each atom.
Element x y z (fractional)
Tb 0.0000 0.0000 0.0000  6 S 2.76
P 0.3333 0.6667 0.2621  4 S 2.04-2.06
P 0.6667 0.3333 0.7379  4 S 2.04-2.06
Pb 0.0000 0.0000 0.5000  12 S 3.44-3.46
S 0.0027 0.6556 0.8006  1 P 2.06
S 0.3333 0.6667 0.4858  1 P 2.04
S 0.3444 0.3471 0.8006  1 P 2.06
S 0.3471 0.0027 0.1994  1 P 2.06
S 0.6529 0.9973 0.8006  1 P 2.06
S 0.6556 0.6529 0.1994  1 P 2.06
S 0.6667 0.3333 0.5142  1 P 2.04
S 0.9973 0.3444 0.1994  1 P 2.06

Computed properties:
Fermi-level density of states (states/eV/f.u.): 12.925
Raw total energy (eV per atom): -4.842
ΔE_f (raw) (eV per atom): -0.49


First-principles (PBE) data for crystalline TcPPbS2 at its relaxed geometry, as listed in Alexandria via LeMat-Bulk.

Cell: 5.1897 5.1897 5.1959 Å, 90.00 90.00 90.00°
With the nearest neighbours (Å) after each atom.
Element x y z (fractional)
Tc 0.0000 0.0000 0.0000  4 P 3.67, 8 S 3.67
P 0.5000 0.5000 0.0000  2 Pb 2.60
Pb 0.5000 0.5000 0.5000  4 S 2.59, 2 P 2.60
S 0.0000 0.5000 0.5000  2 Pb 2.59
S 0.5000 0.0000 0.5000  2 Pb 2.59

Computed properties:
Fermi-level density of states (states/eV/f.u.): 4.135
Raw total energy (eV per atom): -4.062
ΔE_f (raw) (eV per atom): 1.49
Excess energy over the best structure of this formula in the dataset (eV per atom): 1.3253


First-principles (PBE) data for crystalline TcPPbS2 at its relaxed geometry, as listed in Alexandria via LeMat-Bulk.

Cell: 4.9627 4.9627 4.5991 Å, 90.00 90.00 90.00°
With the nearest neighbours (Å) after each atom.
Element x y z (fractional)
Tc 0.0000 0.0000 0.0000  2 P 2.30, 4 S 2.48
P 0.0000 0.0000 0.5000  2 Tc 2.30
Pb 0.5000 0.5000 0.5000  8 S 3.38, 4 P 3.51
S 0.0000 0.5000 0.0000  2 Tc 2.48
S 0.5000 0.0000 0.0000  2 Tc 2.48

Computed properties:
Fermi-level density of states (states/eV/f.u.): 4.341
Raw total energy (eV per atom): -5.387
ΔE_f (raw) (eV per atom): 0.16
Excess energy over the best structure of this formula in the dataset (eV per atom): 0.0000


First-principles (PBE) data for crystalline TeP2PbS at its relaxed geometry, as listed in Alexandria via LeMat-Bulk.

Cell: 5.3866 5.3866 5.4542 Å, 90.00 90.00 90.00°
With the nearest neighbours (Å) after each atom.
Element x y z (fractional)
Te 0.0000 0.0000 0.0000  4 P 2.69, 2 S 2.73
P 0.0000 0.5000 0.0000  2 Te 2.69
P 0.5000 0.0000 0.0000  2 Te 2.69
Pb 0.5000 0.5000 0.5000  4 S 3.81, 8 P 3.83
S 0.0000 0.0000 0.5000  2 Te 2.73

Computed properties:
Fermi-level density of states (states/eV/f.u.): 5.495
Raw total energy (eV per atom): -3.509
ΔE_f (raw) (eV per atom): 0.85
Excess energy over the best structure of this formula in the dataset (eV per atom): 0.0000


First-principles (PBE) data for crystalline TeP2PbS8 at its relaxed geometry, as listed in Alexandria via LeMat-Bulk.

Cell: 9.5370 9.5370 9.5370 Å, 36.54 36.54 36.54°
With the nearest neighbours (Å) after each atom.
Element x y z (fractional)
Te 0.0000 0.0000 0.0000  6 S 2.72
P 0.2481 0.2481 0.2481  4 S 2.01-2.08
P 0.7519 0.7519 0.7519  4 S 2.01-2.08
Pb 0.5000 0.5000 0.5000  12 S 3.35-3.46
S 0.0765 0.4171 0.6910  1 P 2.08
S 0.1728 0.1728 0.1728  1 P 2.01
S 0.3090 0.9235 0.5829  1 P 2.08
S 0.4171 0.6910 0.0765  1 P 2.08
S 0.5829 0.3090 0.9235  1 P 2.08
S 0.6910 0.0765 0.4171  1 P 2.08
S 0.8272 0.8272 0.8272  1 P 2.01
S 0.9235 0.5829 0.3090  1 P 2.08

Computed properties:
Raw total energy (eV per atom): -4.314
ΔE_f (raw) (eV per atom): -0.09


First-principles (PBE) data for crystalline TiPPbS2 at its relaxed geometry, as listed in Alexandria via LeMat-Bulk.

Cell: 4.7537 4.7537 4.8338 Å, 90.00 90.00 90.00°
With the nearest neighbours (Å) after each atom.
Element x y z (fractional)
Ti 0.0000 0.0000 0.0000  4 S 2.38, 2 P 2.42
P 0.0000 0.0000 0.5000  2 Ti 2.42
Pb 0.5000 0.5000 0.5000  4 P 3.36, 8 S 3.39
S 0.0000 0.5000 0.0000  2 Ti 2.38
S 0.5000 0.0000 0.0000  2 Ti 2.38

Computed properties:
Fermi-level density of states (states/eV/f.u.): 2.194
Raw total energy (eV per atom): -5.478
ΔE_f (raw) (eV per atom): -0.42
Excess energy over the best structure of this formula in the dataset (eV per atom): 0.0000


First-principles (PBE) data for crystalline TiPPbS2 at its relaxed geometry, as listed in Alexandria via LeMat-Bulk.

Cell: 5.0789 5.0789 5.0664 Å, 90.00 90.00 90.00°
With the nearest neighbours (Å) after each atom.
Element x y z (fractional)
Ti 0.0000 0.0000 0.0000  8 S 3.59, 4 P 3.59
P 0.5000 0.5000 0.0000  2 Pb 2.53
Pb 0.5000 0.5000 0.5000  2 P 2.53, 4 S 2.54
S 0.0000 0.5000 0.5000  2 Pb 2.54
S 0.5000 0.0000 0.5000  2 Pb 2.54

Computed properties:
Fermi-level density of states (states/eV/f.u.): 7.239
Raw total energy (eV per atom): -4.064
ΔE_f (raw) (eV per atom): 0.99
Excess energy over the best structure of this formula in the dataset (eV per atom): 1.4139